[1]
The following is a DFT calculation (PBE) of a relaxed AlPIrO2 crystal.

a = 3.416 Å, b = 3.416 Å, c = 8.353 Å
α = 90.00°, β = 90.00°, γ = 90.00°
Sites, in units of the cell vectors:
P: 0.000 0.000 0.500
Ir: 0.500 0.500 0.500
O: 0.500 0.000 0.000
Al: 0.000 0.000 0.000
O: 0.000 0.500 0.000

Values from the calculation:
The calculation puts the theoretical density at 4.8 g/cm3. As for the uncorrected energy: -6.27 eV per atom.

[2]
The following is a DFT calculation (PBE) of a relaxed ZnSbAu2 crystal.

a = 3.207 Å, b = 3.205 Å, c = 7.594 Å
α = 90.00°, β = 90.00°, γ = 90.00°
Sites, in units of the cell vectors:
Au: 0.000 0.000 0.956
Zn: 0.500 0.500 0.750
Sb: 0.500 0.500 0.250
Au: 0.000 0.000 0.544

Values from the calculation:
The calculation puts the theoretical density at 12.4 g/cm3. As for the uncorrected energy: -3.01 eV per atom.